Record 1
VASP calculation (PBE) on an optimized crystal structure of ThIn2Sn.

Calculated values
Offset from the most stable computed form, meV per atom: 0
Energy of formation, eV/atom: -0.386
Space-group type: P4/mmm (123)
Mass density, g/cm3: 9.01
Crystal system: tetragonal
Energy, Ry/atom: -0.33887
Magnetization, Bohr magnetons per cell: 0.00

a = 4.9138 Å, b = 4.6651 Å, c = 4.6651 Å
α = 90.00°, β = 90.00°, γ = 90.00°
Fractional positions:
Sn 0.5000 0.0000 0.0000
Th 0.5000 0.5000 0.5000
In 0.0000 0.0000 0.5000
In 0.0000 0.5000 0.0000

---

Record 2
VASP calculation (PBE) on an optimized crystal structure of ThInSn.

Calculated values
Offset from the most stable computed form, meV per atom: 139
Energy of formation, eV/atom: -0.253
Space-group type: P3m1 (156)
Mass density, g/cm3: 9.36
Crystal system: trigonal
Energy, Ry/atom: -0.36555
Magnetization, Bohr magnetons per cell: 0.00

a = 3.4814 Å, b = 5.2338 Å, c = 5.2338 Å
α = 120.00°, β = 90.00°, γ = 90.00°
Fractional positions:
Sn 0.1688 0.3333 0.6667
Th 0.6666 0.6667 0.3333
In 0.1647 0.0000 0.0000